Record 1
Density functional theory data (PBE) for a relaxed structure of Er2BiAu.

a b c (Å): 3.814 3.814 7.059
angles (deg): 90.00 90.00 90.00
Positions (direct):
Er: 0.000 0.000 0.235
Er: 0.000 0.000 0.765
Bi: 0.500 0.500 0.500
Au: 0.500 0.500 0.000

Properties
Its energy relative to the elements is -0.667 eV per atom. As for the space-group type: P4/mmm.


Record 2
Density functional theory data (PBE) for a relaxed structure of PmHo2HfP4.

a b c (Å): 6.817 3.937 6.835
angles (deg): 90.00 109.22 90.00
Positions (direct):
Pm: 0.000 0.000 0.000
Ho: 0.500 0.000 0.500
Ho: 0.500 0.500 0.000
Hf: 0.000 0.500 0.500
P: 0.240 0.000 0.734
P: 0.249 0.500 0.263
P: 0.751 0.500 0.737
P: 0.760 0.000 0.266

Properties
Its energy relative to the elements is -1.499 eV per atom. As for the space-group type: P2/m.


Record 3
Density functional theory data (PBE) for a relaxed structure of KIn2Rh.

a b c (Å): 6.655 6.655 6.655
angles (deg): 152.94 127.32 60.21
Positions (direct):
K: 0.000 0.000 0.000
In: 0.309 0.809 0.500
In: 0.691 0.191 0.500
Rh: 0.500 0.500 0.000

Properties
Its energy relative to the elements is -0.002 eV per atom. As for the space-group type: Immm.


Record 4
Density functional theory data (PBE) for a relaxed structure of InOs2Cl.

a b c (Å): 6.255 6.255 6.255
angles (deg): 121.72 121.72 87.04
Positions (direct):
In: 0.000 0.000 0.000
In: 0.750 0.250 0.500
Os: 0.193 0.625 0.068
Os: 0.375 0.443 0.568
Os: 0.557 0.125 0.932
Os: 0.875 0.807 0.432
Cl: 0.250 0.750 0.500
Cl: 0.500 0.500 0.000

Properties
As for the polymorph energy (0 for the lowest one): 1353.5 meV per atom. As for the space-group type: I-42d. The value obtained for the uncorrected formation energy is 1.619 eV/atom.


Record 5
Density functional theory data (PBE) for a relaxed structure of BaCr2Co.

a b c (Å): 5.356 5.356 5.356
angles (deg): 130.58 113.39 87.28
Positions (direct):
Ba: 0.000 0.000 0.000
Cr: 0.447 0.447 0.000
Cr: 0.677 0.177 0.500
Co: 0.355 0.855 0.500

Properties
Its energy relative to the elements is 1.145 eV per atom. As for the polymorph energy (0 for the lowest one): 595.7 meV per atom. As for the space-group type: Imm2.


Record 6
Density functional theory data (PBE) for a relaxed structure of MgZn4Pb.

a b c (Å): 5.445 5.445 5.445
angles (deg): 60.00 60.00 60.00
Positions (direct):
Mg: 0.000 0.000 0.000
Zn: 0.374 0.374 0.374
Zn: 0.374 0.374 0.877
Zn: 0.374 0.877 0.374
Zn: 0.877 0.374 0.374
Pb: 0.750 0.750 0.750

Properties
Its energy relative to the elements is 0.021 eV per atom. As for the space-group type: F-43m.


Number 1: magnetic moment 0.00 μB/atom, calculated volume 103 Å³/cell. Number 2: magnetic moment 0.00 μB/atom, calculated volume 173 Å³/cell. Number 3: magnetic moment 0.00 μB/atom, calculated volume 106 Å³/cell. Number 4: magnetic moment 0.00 μB/atom, calculated volume 168 Å³/cell. Number 5: magnetic moment 1.94 μB/atom, calculated volume 102 Å³/cell. Number 6: magnetic moment 0.00 μB/atom, calculated volume 114 Å³/cell.